PuZrRh4 (PBE-GGA, optimized geometry); M_tot = 3.76 Bohr magnetons per cell; energy relative to the lowest polymorph listed for this composition = 333.2 meV/atom; calculated formation energy = -109 kJ/mol of formula units; SG = No. 123
1.0
4.3876 0.0004 -0.0016
0.0003 4.3880 -0.0030
0.0026 0.0030 6.0805
Rh Pu Zr
4 1 1
direct
0.5013 0.9974 0.7498
0.5013 0.9972 0.2465
0.0013 0.4972 0.2466
0.0013 0.4974 0.7498
0.5013 0.4973 0.9981
0.0013 0.9973 0.4981